Entry 1:
Below is a relaxed structure of La2AlIrI, with properties calculated at the PBE level.

abc: 5.687 5.687 4.785
angles: 90.00 90.00 90.00
Space group P4/mmm (No. 123)
One atom of each set of equivalent atoms:
La (0.000, 0.500, 0.000) x2
Al (0.000, 0.000, 0.500) x1
Ir (0.000, 0.000, 0.000) x1
I (0.500, 0.500, 0.500) x1

Computed properties:
**Final energy**: -5.537 eV per atom
**Energy relative to the lowest polymorph listed for this composition**: 0.000 eV per atom
**Volume**: 30.95 A^3/atom


Entry 2:
Below is a relaxed structure of Al2CuW, with properties calculated at the PBE level.

abc: 3.808 3.808 8.003
angles: 90.00 90.00 90.00
Space group I4/mmm (No. 139)
One atom of each set of equivalent atoms:
Al (0.000, 0.500, 0.250) x4
Cu (0.000, 0.000, 0.000) x2
W (0.000, 0.000, 0.500) x2

Computed properties:
**Final energy**: -6.123 eV per atom
**Energy relative to the lowest polymorph listed for this composition**: 0.100 eV per atom
**Volume**: 14.50 A^3/atom


Entry 3:
Below is a relaxed structure of SrH3Pt, with properties calculated at the PBE level.

abc: 4.2712 4.2712 7.4949
angles: 90.00 90.00 120.00
Space group P6_3/mmc (No. 194)
One atom of each set of equivalent atoms:
Sr (0.3333, 0.6667, 0.2500) x2
H (0.0000, 0.0000, 0.2500) x2
H (0.3333, 0.6667, 0.5789) x4
Pt (0.0000, 0.0000, 0.0000) x2

Computed properties:
**Final energy**: -3.614 eV per atom
**Volume**: 11.84 A^3/atom


Entry 4:
Below is a relaxed structure of LiGeIr3, with properties calculated at the PBE level.

abc: 4.580 4.580 4.580
angles: 90.00 90.00 90.00
Space group Pm-3m (No. 221)
One atom of each set of equivalent atoms:
Li (0.000, 0.000, 0.000) x1
Ge (0.500, 0.500, 0.500) x1
Ir (0.000, 0.500, 0.500) x3

Computed properties:
**Final energy**: -5.700 eV per atom
**Energy relative to the lowest polymorph listed for this composition**: 0.100 eV per atom
**Volume**: 19.21 A^3/atom


Entry 5:
Below is a relaxed structure of LuZrAlCo, with properties calculated at the PBE level.

abc: 6.735 6.735 6.735
angles: 90.00 90.00 90.00
Space group F-43m (No. 216)
One atom of each set of equivalent atoms:
Lu (0.000, 0.000, 0.000) x4
Zr (0.000, 0.000, 0.500) x4
Al (0.250, 0.250, 0.250) x4
Co (0.250, 0.250, 0.750) x4

Computed properties:
**Final energy**: -6.211 eV per atom
**Volume**: 19.09 A^3/atom


Entry 6:
Below is a relaxed structure of Ba2TeO6, with properties calculated at the PBE level.

abc: 5.9931 5.9931 9.5278
angles: 90.00 90.00 120.00
Space group P6_3mc (No. 186)
One atom of each set of equivalent atoms:
Ba (0.0000, 0.0000, 0.0000) x2
Ba (0.3333, 0.6667, 0.2722) x2
Te (0.3333, 0.6667, 0.6662) x2
O (0.0342, 0.5171, 0.5432) x6
O (0.1738, 0.3476, 0.7711) x6

Computed properties:
**Final energy**: -5.755 eV per atom
**Energy relative to the lowest polymorph listed for this composition**: 0.000 eV per atom
**Volume**: 16.46 A^3/atom


Q: Which value of volume does entry 4 give?
A: 19.21 A^3/atom


Q: final energy of number 6 (Ba2TeO6)?
A: -5.755 eV per atom


Q: What is the formula in the third record?
A: SrH3Pt